1.
GeH2S2 | PBE-GGA | relaxed

density of states at the Fermi level: 1.29 states/eV/f.u.
excess energy over the best structure of this formula in the dataset: 69.4 kJ/mol of atoms
space group: I4/mmm
volume: 12.02 Å³ per atom
total magnetization: 0.000 Bohr magnetons per cell

Geometry as POSCAR:
```
GeH2S2
1.0
-1.6490 1.6490 5.5262
1.6490 -1.6490 5.5262
1.6490 1.6490 -5.5262
Ge H S
1 2 2
Direct
0.0000 0.0000 0.0000
0.2500 0.7500 0.5000
0.7500 0.2500 0.5000
0.3535 0.3535 0.0000
0.6465 0.6465 0.0000
```

---

2.
AlCrTc | PBE-GGA | relaxed

density of states at the Fermi level: 2.40 states/eV/f.u.
excess energy over the best structure of this formula in the dataset: 27.2 kJ/mol of atoms
space group: Fmm2
volume: 13.73 Å³ per atom
total magnetization: 0.000 Bohr magnetons per cell
formation energy from the elements: -0.02 eV/atom

Geometry as POSCAR:
```
AlCrTc
1.0
0.0000 2.2097 6.2731
1.4857 0.0000 6.2731
1.4857 2.2097 0.0000
Al Cr Tc
1 1 1
Direct
0.0000 0.0000 0.0000
0.6659 0.6659 0.3341
0.3252 0.3252 0.6748
```

---

Repeat the first record exactly.
GeH2S2 | PBE-GGA | relaxed

density of states at the Fermi level: 1.29 states/eV/f.u.
excess energy over the best structure of this formula in the dataset: 69.4 kJ/mol of atoms
space group: I4/mmm
volume: 12.02 Å³ per atom
total magnetization: 0.000 Bohr magnetons per cell

Geometry as POSCAR:
```
GeH2S2
1.0
-1.6490 1.6490 5.5262
1.6490 -1.6490 5.5262
1.6490 1.6490 -5.5262
Ge H S
1 2 2
Direct
0.0000 0.0000 0.0000
0.2500 0.7500 0.5000
0.7500 0.2500 0.5000
0.3535 0.3535 0.0000
0.6465 0.6465 0.0000
```